(1)
Here is Ce4InTc after structural relaxation from Alexandria. Energies are from PBE.

Unit cell a=7.6795 b=7.6795 c=5.9026 alpha=98.88 beta=98.88 gamma=114.02
With the nearest neighbours (Å) after each atom.
Atoms (fractional coordinates):
1 Ce 0.0834 0.6950 0.8826  2 Ce 2.74-3.05, 1 Tc 3.06
2 Ce 0.1754 0.3614 0.6777  1 Tc 2.59
3 Ce 0.3050 0.9166 0.6174  2 Ce 2.74-3.05, 1 Tc 3.06
4 Ce 0.3614 0.1754 0.1777  1 Tc 2.59
5 Ce 0.6386 0.8246 0.8223  1 Tc 2.59
6 Ce 0.6950 0.0834 0.3826  2 Ce 2.74-3.05, 1 Tc 3.06
7 Ce 0.8246 0.6386 0.3223  1 Tc 2.59
8 Ce 0.9166 0.3050 0.1174  2 Ce 2.74-3.05, 1 Tc 3.06
9 In 0.3836 0.6164 0.2500  10 Ce 3.22-3.60
10 In 0.6164 0.3836 0.7500  10 Ce 3.22-3.60
11 Tc 0.0181 0.9819 0.2500  2 Ce 2.59
12 Tc 0.9819 0.0181 0.7500  2 Ce 2.59

## Properties
Energy relative to the elements ... -0.16 eV per atom
Crystal system ... monoclinic
Energy ... -75.55 eV for the cell shown
Size of the total moment ... 0.118 μB/atom
Excess energy over the best structure of this formula in the dataset ... 0.0000 eV per atom
Space-group type ... C2/c

=====

(2)
Here is Ce8In2Tc3 after structural relaxation from Alexandria. Energies are from PBE.

Unit cell a=9.6011 b=9.6011 c=4.0416 alpha=98.86 beta=98.86 gamma=68.60
With the nearest neighbours (Å) after each atom.
Atoms (fractional coordinates):
1 Ce 0.0595 0.0595 0.2870  4 Ce 2.70-2.94
2 Ce 0.1176 0.6427 0.9345  2 Tc 2.71-2.84, 1 Ce 2.94
3 Ce 0.3573 0.8824 0.0655  2 Tc 2.71-2.84, 1 Ce 2.94
4 Ce 0.3857 0.3857 0.4465  2 Tc 2.60-2.79
5 Ce 0.6143 0.6143 0.5535  2 Tc 2.60-2.79
6 Ce 0.6427 0.1176 0.9345  2 Tc 2.71-2.84, 1 Ce 2.94
7 Ce 0.8824 0.3573 0.0655  2 Tc 2.71-2.84, 1 Ce 2.94
8 Ce 0.9405 0.9405 0.7130  4 Ce 2.70-2.94
9 In 0.2276 0.2276 0.8327  5 Ce 3.13-3.32
10 In 0.7724 0.7724 0.1673  5 Ce 3.13-3.32
11 Tc 0.2705 0.7295 0.5000  4 Ce 2.71-2.84
12 Tc 0.5000 0.5000 0.0000  4 Ce 2.60-2.79
13 Tc 0.7295 0.2705 0.5000  4 Ce 2.71-2.84

## Properties
Energy relative to the elements ... -0.06 eV per atom
Crystal system ... monoclinic
Energy ... -84.88 eV for the cell shown
Size of the total moment ... 0.123 μB/atom
Excess energy over the best structure of this formula in the dataset ... 0.0000 eV per atom
Space-group type ... C2/m

=====

(3)
Here is CeInTc4 after structural relaxation from Alexandria. Energies are from PBE.

Unit cell a=5.3620 b=5.3620 c=5.3620 alpha=60.00 beta=60.00 gamma=60.00
With the nearest neighbours (Å) after each atom.
Atoms (fractional coordinates):
1 Ce 0.0000 0.0000 0.0000  12 Tc 3.15, 4 In 3.28
2 In 0.7500 0.7500 0.7500  12 Tc 3.14, 4 Ce 3.28
3 Tc 0.3762 0.3762 0.3762  6 Tc 2.66-2.71
4 Tc 0.3762 0.3762 0.8715  6 Tc 2.66-2.71
5 Tc 0.3762 0.8715 0.3762  6 Tc 2.66-2.71
6 Tc 0.8715 0.3762 0.3762  6 Tc 2.66-2.71

## Properties
Energy relative to the elements ... 0.09 eV per atom
Crystal system ... cubic
Energy ... -49.60 eV for the cell shown
Size of the total moment ... 0.000 μB/atom
Space-group type ... F-43m